#P
K2Hg2F7 | PBE | relaxed

```
K2Hg2F7
1.0
-1.3458 0.1911 -5.5204
5.8842 -0.3918 -1.4480
-0.2408 -5.6533 0.5514
F Hg K
7 2 2
direct
0.0000 0.0000 0.0000
0.0000 0.7715 0.5000
0.0000 0.2285 0.5000
0.5000 0.2285 0.0000
0.5000 0.2241 0.5000
0.5000 0.7715 0.0000
0.5000 0.7759 0.5000
0.7261 0.0000 0.2739
0.2739 0.0000 0.7261
0.7586 0.5000 0.7586
0.2414 0.5000 0.2414
```

Results
- symmetry = Cmmm, No. 65

#Q
K2Hg2F7 | PBE | relaxed

```
K2Hg2F7
1.0
-4.1199 3.3585 3.4198
-2.7575 -4.6907 2.8681
4.8768 0.7076 3.9578
K F Hg
2 7 2
direct
0.7260 0.4898 0.2740
0.2740 0.5102 0.7260
0.4623 0.7798 0.5377
0.9406 0.7829 0.5576
0.5576 0.2171 0.9406
0.0000 0.5000 0.0000
0.0594 0.2171 0.4424
0.4424 0.7829 0.0594
0.5377 0.2202 0.4623
0.7237 0.0000 0.7237
0.2763 0.0000 0.2763
```

Results
- symmetry = C2/m, No. 12

It comes down to #P, which is 5.2 kJ/mol of atoms more stable than the next structure.

#P
KHg2F8 | PBE | relaxed

```
KHg2F8
1.0
4.2230 0.1814 0.2723
-0.4311 7.0516 -0.7411
-0.4311 -3.3998 6.2222
F Hg K
8 2 1
direct
0.0151 0.0466 0.3362
0.0151 0.3362 0.0466
0.6804 0.4135 0.4135
0.5000 0.7082 0.2918
0.5000 0.2918 0.7082
0.9849 0.6638 0.9534
0.3196 0.5865 0.5865
0.9849 0.9534 0.6638
0.0000 0.3338 0.6662
0.0000 0.6662 0.3338
0.5000 0.0000 0.0000
```

Results
- symmetry = C2/m, No. 12

#Q
KHg2F8 | PBE | relaxed

```
KHg2F8
1.0
-0.4331 -5.0059 -1.3348
-1.1334 2.3337 -6.1473
7.0892 -1.4304 3.1744
F K Hg
8 1 2
direct
0.2630 0.2644 0.3769
0.2397 0.8803 0.4397
0.7029 0.3626 0.1820
0.7370 0.7356 0.6231
0.2664 0.2602 0.8840
0.2971 0.6374 0.8179
0.7336 0.7398 0.1160
0.7603 0.1197 0.5603
0.0000 0.0000 0.0000
0.7293 0.7365 0.3689
0.2707 0.2635 0.6310
```

Results
- symmetry = P-1, No. 2

It comes down to #Q, which is 5.3 kJ/mol of atoms more stable than the next structure.

#P
KHg2F | PBE | relaxed

```
KHg2F
1.0
3.7386 0.0000 -0.0032
0.0000 3.7380 0.0000
0.0296 0.0000 16.4071
Hg K F
4 2 2
direct
0.2500 0.3365 0.9279
0.7500 0.8365 0.0721
0.2494 0.3362 0.2157
0.7506 0.8362 0.7843
0.7506 0.8364 0.4161
0.2494 0.3364 0.5839
0.7494 0.8364 0.5804
0.2506 0.3364 0.4196
```

Results
- symmetry = P2_1/m, No. 11

#Q
KHg2F | PBE | relaxed

```
KHg2F
1.0
4.2903 0.0000 0.0000
2.1452 3.7155 0.0000
2.1452 1.2385 8.9758
Hg F K
2 1 1
direct
0.8833 0.8833 0.3500
0.1167 0.1167 0.6500
0.5000 0.5000 0.5000
0.0000 0.0000 0.0000
```

Results
- symmetry = R-3m, No. 166

It comes down to #P, which is 66.5 kJ/mol of atoms more stable than the next structure.

#P
KHg2F | PBE | relaxed

```
KHg2F
1.0
0.0000 3.8760 3.8760
3.8760 0.0000 3.8760
3.8760 3.8760 0.0000
Hg F K
2 1 1
direct
0.2500 0.2500 0.2500
0.7500 0.7500 0.7500
0.0000 0.0000 0.0000
0.5000 0.5000 0.5000
```

Results
- symmetry = Fm-3m, No. 225

#Q
KHg2F | PBE | relaxed

```
KHg2F
1.0
10.9591 0.0000 0.0000
0.0000 10.9591 0.0000
5.4795 5.4795 2.4538
Hg F K
4 2 2
direct
0.3750 0.4783 0.7500
0.2283 0.6250 0.2500
0.8750 0.7717 0.7500
0.5217 0.1250 0.2500
0.2500 0.7500 0.5000
0.5000 0.5000 0.0000
0.0000 0.0000 0.0000
0.7500 0.2500 0.5000
```

Results
- symmetry = I-42d, No. 122

It comes down to #Q, which is 23.8 kJ/mol of atoms more stable than the next structure.

#P
K5Hg3F12 | PBE | relaxed

```
K5Hg3F12
1.0
-2.7946 2.4567 0.5588
1.9355 4.3822 -9.5867
-6.9521 -8.1085 0.8802
K F Hg
5 12 3
direct
0.0000 0.6667 0.3333
0.0000 0.3333 0.6667
0.0000 0.0000 0.2797
0.0000 0.7203 0.7203
0.0000 0.2797 0.0000
0.5000 0.2105 0.4461
0.5000 0.4461 0.2105
0.5000 0.7895 0.2356
0.0000 0.4746 0.4746
0.5000 0.7644 0.5539
0.0000 0.2016 0.2016
0.0000 0.0000 0.5254
0.0000 0.0000 0.7984
0.0000 0.7984 0.0000
0.5000 0.5539 0.7644
0.5000 0.2356 0.7895
0.0000 0.5254 0.0000
0.5000 0.3402 0.3402
0.5000 0.0000 0.6598
0.5000 0.6598 0.0000
```

Results
- symmetry = P-62m, No. 189

#Q
K5Hg3F12 | PBE | relaxed

```
K5Hg3F12
1.0
13.1819 0.0000 0.0000
-4.3940 12.4280 0.0000
-4.3940 -6.2140 10.7630
F K Hg
48 20 12
direct
0.9233 0.7835 0.3116
0.4719 0.3602 0.7835
0.6398 0.1117 0.4233
0.1398 0.9233 0.6117
0.7165 0.6884 0.5767
0.8883 0.5281 0.3116
0.2165 0.0767 0.1884
0.6117 0.1884 0.9719
0.6884 0.9719 0.1117
0.0281 0.3116 0.3883
0.2835 0.9719 0.3602
0.8116 0.3883 0.5281
0.1398 0.2165 0.0281
0.4233 0.8116 0.2835
0.1117 0.6398 0.9233
0.9719 0.6884 0.6117
0.1884 0.6117 0.4719
0.7835 0.8602 0.4719
0.1117 0.4719 0.6884
0.4719 0.1117 0.1884
0.7835 0.9233 0.8116
0.9233 0.1398 0.1117
0.5767 0.3883 0.3602
0.6884 0.7165 0.0767
0.0767 0.2165 0.6884
0.5281 0.8883 0.8116
0.8116 0.4233 0.7835
0.0767 0.8602 0.8883
0.8602 0.7835 0.9719
0.3116 0.2835 0.9233
0.7165 0.0281 0.6398
0.6398 0.5281 0.7165
0.1884 0.5767 0.2165
0.8883 0.3602 0.0767
0.0281 0.7165 0.1398
0.9719 0.2835 0.8602
0.8602 0.0767 0.3883
0.3116 0.0281 0.8883
0.5281 0.6398 0.2165
0.2835 0.3116 0.4233
0.3602 0.8883 0.5767
0.3602 0.4719 0.2835
0.5767 0.1884 0.7165
0.3883 0.8116 0.0281
0.2165 0.1398 0.5281
0.6117 0.4233 0.1398
0.4233 0.6117 0.6398
0.3883 0.5767 0.8602
0.1250 0.7500 0.3750
0.6250 0.7500 0.8750
0.7500 0.1250 0.8750
0.5000 0.0000 0.0000
0.0000 0.5000 0.0000
0.0000 0.0000 0.0000
0.6250 0.8750 0.2500
0.1250 0.3750 0.2500
0.5000 0.5000 0.0000
0.8750 0.6250 0.7500
0.5000 0.0000 0.5000
0.0000 0.0000 0.5000
0.0000 0.5000 0.5000
0.3750 0.2500 0.1250
0.3750 0.1250 0.7500
0.2500 0.8750 0.1250
0.7500 0.6250 0.3750
0.2500 0.3750 0.6250
0.5000 0.5000 0.5000
0.8750 0.2500 0.6250
0.3750 0.6250 0.2500
0.7500 0.3750 0.1250
0.1250 0.2500 0.8750
0.6250 0.3750 0.7500
0.3750 0.7500 0.6250
0.8750 0.1250 0.2500
0.8750 0.7500 0.1250
0.6250 0.2500 0.3750
0.7500 0.8750 0.6250
0.1250 0.8750 0.7500
0.2500 0.6250 0.8750
0.2500 0.1250 0.3750
```

Results
- symmetry = Ia-3d, No. 230

It comes down to #P, which is 5.8 kJ/mol of atoms more stable than the next structure.

#P
KHg2F5 | PBE | relaxed

```
KHg2F5
1.0
-2.5898 2.4081 -2.7662
-3.7914 -3.6158 4.0455
-0.1035 8.3516 7.3675
Hg K F
4 2 10
direct
0.1375 0.2750 0.5553
0.8625 0.7250 0.4447
0.1375 0.2750 0.9447
0.8625 0.7250 0.0553
0.5920 0.1840 0.2500
0.4080 0.8160 0.7500
0.9600 0.9200 0.8793
0.6749 0.3498 0.4944
0.9600 0.9200 0.6207
0.1949 0.3899 0.7500
0.0400 0.0800 0.3793
0.0400 0.0800 0.1207
0.3251 0.6502 0.5056
0.6749 0.3498 0.0056
0.8051 0.6101 0.2500
0.3251 0.6502 0.9944
```

Results
- symmetry = Cmcm, No. 63

#Q
KHg2F5 | PBE | relaxed

```
KHg2F5
1.0
-0.0482 1.0326 3.4973
5.0860 -3.6373 3.0455
6.5241 1.9507 1.4154
F K Hg
5 1 2
direct
0.3456 0.3849 0.9240
0.0000 0.5000 0.5000
0.3456 0.9240 0.3849
0.6544 0.6151 0.0760
0.6544 0.0760 0.6151
0.0000 0.0000 0.0000
0.8134 0.6866 0.6866
0.1866 0.3134 0.3134
```

Results
- symmetry = Immm, No. 71

It comes down to #P, which is 2.0 kJ/mol of atoms more stable than the next structure.